Entry A
Material: Tl6CdPb3
Method: DFT, GGA-PBE
State: relaxed

Space group: P-31m, No. 162
Density of states at the Fermi level, states/eV per cell: 5.28

Unit cell a=6.183 b=6.183 c=9.665 alpha=90.00 beta=90.00 gamma=120.00
Element x y z (fractional)
1 Tl 0.625 0.625 0.801
2 Tl 0.000 0.375 0.801
3 Tl 0.375 0.000 0.801
4 Tl 0.000 0.625 0.199
5 Tl 0.375 0.375 0.199
6 Tl 0.625 0.000 0.199
7 Cd 0.000 0.000 0.000
8 Pb 0.000 0.000 0.500
9 Pb 0.667 0.333 0.500
10 Pb 0.333 0.667 0.500

Entry B
Material: Tl6CdPb3
Method: DFT, GGA-PBE
State: relaxed

Space group: P2_1/m, No. 11
Density of states at the Fermi level, states/eV per cell: 9.27

Unit cell a=3.365 b=12.934 c=16.499 alpha=121.41 beta=90.00 gamma=90.00
Element x y z (fractional)
1 Tl 0.750 0.609 0.708
2 Tl 0.250 0.391 0.292
3 Tl 0.750 0.861 0.104
4 Tl 0.250 0.139 0.896
5 Tl 0.750 0.380 0.100
6 Tl 0.250 0.620 0.900
7 Tl 0.750 0.655 0.307
8 Tl 0.250 0.345 0.693
9 Tl 0.750 0.118 0.484
10 Tl 0.250 0.882 0.516
11 Tl 0.750 0.880 0.714
12 Tl 0.250 0.120 0.286
13 Cd 0.750 0.115 0.692
14 Cd 0.250 0.885 0.308
15 Pb 0.750 0.375 0.892
16 Pb 0.250 0.625 0.108
17 Pb 0.750 0.622 0.503
18 Pb 0.250 0.378 0.497
19 Pb 0.750 0.120 0.096
20 Pb 0.250 0.880 0.904

In terms of stability, entry B leads; the second structure lies 25 meV per atom higher.